[1]
Ba2SrGaF: relaxed, PBE-GGA. Values from VASP.

```
&SYSTEM
  ibrav = 0, nat = 5, ntyp = 4
/
ATOMIC_SPECIES
Ba 137.33 Ba.upf
Sr 87.62 Sr.upf
Ga 69.72 Ga.upf
F 19.00 F.upf
CELL_PARAMETERS angstrom
5.590 0.000 0.000
0.000 5.590 0.000
0.000 0.000 5.239
ATOMIC_POSITIONS crystal
Ba 0.000 0.500 0.000
Ba 0.500 0.000 0.000
Sr 0.000 0.000 0.500
Ga 0.500 0.500 0.500
F 0.000 0.000 0.000
```

Output
**Spin magnetization**: 0.00 Bohr magnetons per cell
**Formation energy from raw total energies**: -5.67 eV/f.u.
**VASP energy**: -3.218 eV per atom
**N(E_F)**: 2.4 states/eV per cell

---

[2]
BaGaTcF2: relaxed, PBE-GGA. Values from VASP.

```
&SYSTEM
  ibrav = 0, nat = 5, ntyp = 4
/
ATOMIC_SPECIES
Ba 137.33 Ba.upf
Ga 69.72 Ga.upf
Tc 98.00 Tc.upf
F 19.00 F.upf
CELL_PARAMETERS angstrom
4.586 0.000 0.000
0.000 4.586 0.000
0.000 0.000 5.107
ATOMIC_POSITIONS crystal
Ba 0.000 0.000 0.000
Ga 0.500 0.500 0.500
Tc 0.500 0.500 0.000
F 0.000 0.500 0.500
F 0.500 0.000 0.500
```

Output
**Spin magnetization**: 3.11 Bohr magnetons per cell
**Formation energy from raw total energies**: -4.15 eV/f.u.
**VASP energy**: -4.641 eV per atom
**N(E_F)**: 3.2 states/eV per cell

---

[3]
Ba2GaTcF: relaxed, PBE-GGA. Values from VASP.

```
&SYSTEM
  ibrav = 0, nat = 5, ntyp = 4
/
ATOMIC_SPECIES
Ba 137.33 Ba.upf
Ga 69.72 Ga.upf
Tc 98.00 Tc.upf
F 19.00 F.upf
CELL_PARAMETERS angstrom
5.629 0.000 0.000
0.000 5.629 0.000
0.000 0.000 4.245
ATOMIC_POSITIONS crystal
Ba 0.000 0.500 0.000
Ba 0.500 0.000 0.000
Ga 0.000 0.000 0.500
Tc 0.500 0.500 0.500
F 0.500 0.500 0.000
```

Output
**Spin magnetization**: 1.48 Bohr magnetons per cell
**Formation energy from raw total energies**: -1.87 eV/f.u.
**VASP energy**: -4.197 eV per atom
**N(E_F)**: 3.6 states/eV per cell

---

[4]
BaTiGa2F8: relaxed, PBE-GGA. Values from VASP.

```
&SYSTEM
  ibrav = 0, nat = 12, ntyp = 4
/
ATOMIC_SPECIES
Ba 137.33 Ba.upf
Ti 47.87 Ti.upf
Ga 69.72 Ga.upf
F 19.00 F.upf
CELL_PARAMETERS angstrom
4.753 0.000 0.000
-0.987 6.294 0.000
-0.835 -0.785 7.575
ATOMIC_POSITIONS crystal
Ba 0.000 0.000 0.000
Ti 0.000 0.000 0.500
Ga 0.418 0.578 0.253
Ga 0.582 0.422 0.747
F 0.089 0.811 0.311
F 0.116 0.834 0.678
F 0.363 0.175 0.528
F 0.484 0.784 0.065
F 0.516 0.216 0.935
F 0.637 0.825 0.472
F 0.884 0.166 0.322
F 0.911 0.189 0.689
```

Output
**Spin magnetization**: 0.00 Bohr magnetons per cell
**Formation energy from raw total energies**: -34.95 eV/f.u.
**VASP energy**: -5.483 eV per atom
**N(E_F)**: 0.0 states/eV per cell

---

[5]
BaTl2GaF8: relaxed, PBE-GGA. Values from VASP.

```
&SYSTEM
  ibrav = 0, nat = 12, ntyp = 4
/
ATOMIC_SPECIES
Ba 137.33 Ba.upf
Tl 204.38 Tl.upf
Ga 69.72 Ga.upf
F 19.00 F.upf
CELL_PARAMETERS angstrom
5.710 0.000 0.000
-2.855 4.945 0.000
0.000 0.000 7.326
ATOMIC_POSITIONS crystal
Ba 0.000 0.000 0.000
Tl 0.333 0.667 0.352
Tl 0.667 0.333 0.648
Ga 0.000 0.000 0.500
F 0.153 0.306 0.662
F 0.153 0.847 0.662
F 0.306 0.153 0.338
F 0.333 0.667 0.040
F 0.667 0.333 0.960
F 0.694 0.847 0.662
F 0.847 0.153 0.338
F 0.847 0.694 0.338
```

Output
**Spin magnetization**: 0.96 Bohr magnetons per cell
**Formation energy from raw total energies**: -29.49 eV/f.u.
**VASP energy**: -4.512 eV per atom
**N(E_F)**: 5.6 states/eV per cell